No. 1
K3In2H9 after structural relaxation, computed with PBE-GGA.

```
14
Lattice="-2.808 -1.485 -4.810 -0.999 -2.843 4.914 -5.297 4.699 1.642" Properties=species:S:1:pos:R:3 pbc="T T T"
In -3.170 -1.081 -1.270
In -5.934 1.452 3.015
H -4.984 0.650 4.387
H -4.604 -1.660 -0.254
H -1.404 -0.742 -2.405
H -6.349 -0.071 2.050
H -4.499 2.031 1.999
H -1.903 -2.164 0.052
H -2.755 0.442 -0.304
H -0.499 -1.421 2.457
H -4.119 -0.279 -2.641
K 0.000 0.000 0.000
K -3.394 -0.800 2.228
K -5.710 1.171 -0.483
```

Properties
space group = No. 164



No. 2
K2InH after structural relaxation, computed with PBE-GGA.

```
8
Lattice="7.908 0.000 0.000 0.000 7.908 0.000 3.954 3.954 4.573" Properties=species:S:1:pos:R:3 pbc="T T T"
H 3.954 3.954 0.000
H 3.954 7.908 2.286
K 5.013 1.977 1.143
K 9.886 8.967 3.430
K 5.931 6.850 3.430
K 2.895 5.931 1.143
In 0.000 0.000 0.000
In 7.908 3.954 2.286
```

Properties
space group = No. 122
E above lowest polymorph = 0.047 eV per atom



| no. | energy (eV per atom) |
| --- | --- |
| 1 | -2.80 |
| 2 | -1.97 |